Crystalline HfIn3Rh at its relaxed geometry, computed with PBE.

Cell lengths 5.441, 5.441, 5.441 Å; angles 90.00, 90.00, 90.00 degrees
Fractional positions:
Rh 0.500 0.500 0.500
Hf 0.000 0.000 0.000
In 0.000 0.500 0.000
In 0.000 0.000 0.500
In 0.500 0.000 0.000

## Properties
The formation energy is 1.22 eV/atom. The crystal system is cubic. The energy comes out at -3.885 eV per atom. The calculation puts the total magnetic moment at 0.8 μB per formula unit.